First-principles (GGA-PBE) data for a relaxed structure of NaCo2BHIr, as listed in Alexandria.

Computed properties:
space group	Amm2 (38)
uncorrected energy	-5.716	eV per atom
energy above the lowest structure with this stoichiometry	0	kJ/mol of formula units

The structure in POSCAR format:
```
NaCo2BHIr
1.0
5.219 0.000 0.000
0.000 1.341 4.475
0.000 -1.341 4.475
Na Co B H Ir
1 2 1 1 1
direct
0.000 0.000 0.000
0.257 0.739 0.739
0.743 0.739 0.739
0.500 0.141 0.141
0.000 0.248 0.248
0.500 0.451 0.451
```